Record 1
Compound: BMoS2
Source: Alexandria via LeMat-Bulk
Functional: PBE-GGA
Structure: relaxed

a b c (Å): 5.183 5.183 5.667
angles (deg): 62.79 62.79 90.00
Positions (direct):
Mo: 0.000 0.000 0.000
S: 0.556 0.125 0.250
S: 0.375 0.444 0.750
S: 0.875 0.806 0.750
S: 0.194 0.625 0.250
B: 0.250 0.750 0.500
B: 0.500 0.500 0.000
Mo: 0.750 0.250 0.500

Properties
- raw formation energy (eV/atom) = 0.120
- total energy (eV/atom) = -6.321
- spin magnetization (μB per atom) = 0.000

Record 2
Compound: TiCu2HN
Source: Alexandria via LeMat-Bulk
Functional: PBE-GGA
Structure: relaxed

a b c (Å): 3.750 4.129 3.750
angles (deg): 90.00 90.00 90.00
Positions (direct):
Cu: 0.000 0.000 0.500
H: 0.500 0.500 0.500
Ti: 0.000 0.500 0.000
Cu: 0.500 0.000 0.000
N: 0.000 0.000 0.000

Properties
- total energy (eV/atom) = -5.398
- spin magnetization (μB per atom) = 0.000

Record 3
Compound: LiTaGa2
Source: Alexandria via LeMat-Bulk
Functional: PBE-GGA
Structure: relaxed

a b c (Å): 3.964 3.964 9.472
angles (deg): 77.92 77.92 90.00
Positions (direct):
Li: 0.250 0.750 0.500
Ta: 0.000 0.000 0.000
Ta: 0.750 0.250 0.500
Ga: 0.375 0.370 0.750
Ga: 0.120 0.625 0.250
Li: 0.500 0.500 0.000
Ga: 0.630 0.125 0.250
Ga: 0.875 0.880 0.750

Properties
- total energy (eV/atom) = -4.541
- spin magnetization (μB per atom) = 0.000
- ΔE_f (eV/atom) = 0.41

Record 4
Compound: Ba6Na2As2Ru2O17
Source: Alexandria via LeMat-Bulk
Functional: PBE-GGA
Structure: relaxed

a b c (Å): 5.940 5.940 30.124
angles (deg): 90.00 90.00 120.00
Last column: magnetic moment on the atom in μB.
Positions (direct):
Ba: 0.667 0.333 0.681  0.01
Ru: 0.333 0.667 0.796  1.87
Ba: 0.000 0.000 0.500  0.00
O: 0.028 0.514 0.750  0.08
O: 0.823 0.647 0.573  0.00
O: 0.646 0.823 0.670  0.21
As: 0.333 0.667 0.052  0.00
Ba: 0.667 0.333 0.092  0.01
Na: 0.000 0.000 0.876  0.00
Ru: 0.667 0.333 0.204  1.87
O: 0.647 0.823 0.427  0.00
Ru: 0.333 0.667 0.704  1.87
O: 0.646 0.823 0.830  0.21
O: 0.353 0.177 0.573  0.00
O: 0.823 0.646 0.170  0.21
O: 0.823 0.177 0.927  0.00
O: 0.823 0.177 0.573  0.00
O: 0.823 0.177 0.170  0.21
Na: 0.000 0.000 0.376  0.00
Na: 0.000 0.000 0.124  0.00
Ba: 0.000 0.000 0.250  0.01
O: 0.177 0.353 0.427  0.00
O: 0.177 0.354 0.830  0.21
O: 0.354 0.177 0.330  0.21
Ba: 0.333 0.667 0.319  0.01
Ba: 0.000 0.000 0.000  0.00
O: 0.486 0.514 0.750  0.08
O: 0.353 0.177 0.927  0.00
O: 0.486 0.972 0.750  0.08
O: 0.667 0.333 0.005  0.00
O: 0.823 0.647 0.927  0.00
Ba: 0.333 0.667 0.592  0.01
O: 0.514 0.028 0.250  0.08
As: 0.667 0.333 0.948  0.00
O: 0.972 0.486 0.250  0.08
O: 0.514 0.486 0.250  0.08
O: 0.177 0.823 0.670  0.21
As: 0.333 0.667 0.448  0.00
O: 0.177 0.354 0.670  0.21
O: 0.354 0.177 0.170  0.21
Ba: 0.000 0.000 0.750  0.01
Ba: 0.667 0.333 0.408  0.01
As: 0.667 0.333 0.552  0.00
O: 0.177 0.823 0.830  0.21
O: 0.177 0.823 0.073  0.00
Ba: 0.333 0.667 0.908  0.01
O: 0.333 0.667 0.505  0.00
O: 0.177 0.823 0.427  0.00
Ru: 0.667 0.333 0.296  1.87
O: 0.823 0.177 0.330  0.21
O: 0.333 0.667 0.995  0.00
O: 0.177 0.353 0.073  0.00
O: 0.667 0.333 0.495  0.00
Ba: 0.667 0.333 0.819  0.01
O: 0.823 0.646 0.330  0.21
Ba: 0.333 0.667 0.181  0.01
Na: 0.000 0.000 0.624  0.00
O: 0.647 0.823 0.073  0.00

Properties
- raw formation energy (eV/atom) = -2.046
- total energy (eV/atom) = -6.402
- spin magnetization (μB per atom) = 0.207

Record 5
Compound: LaPr6Tm12
Source: Alexandria via LeMat-Bulk
Functional: PBE-GGA
Structure: relaxed

a b c (Å): 9.274 9.274 9.274
angles (deg): 106.37 106.37 106.37
Positions (direct):
Tm: 0.340 0.340 0.105
Pr: 0.313 0.313 0.711
Pr: 0.687 0.289 0.687
Tm: 0.500 0.889 0.111
Tm: 0.340 0.105 0.340
Pr: 0.289 0.687 0.687
Tm: 0.660 0.895 0.660
Tm: 0.889 0.500 0.111
Pr: 0.687 0.687 0.289
Tm: 0.889 0.111 0.500
Tm: 0.660 0.660 0.895
Tm: 0.111 0.500 0.889
Tm: 0.500 0.111 0.889
Tm: 0.111 0.889 0.500
Tm: 0.895 0.660 0.660
Pr: 0.711 0.313 0.313
Pr: 0.313 0.711 0.313
La: 0.000 0.000 0.000
Tm: 0.105 0.340 0.340

Properties
- total energy (eV/atom) = -4.142
- spin magnetization (μB per atom) = 0.000
- ΔE_f (eV/atom) = 0.45

Record 6
Compound: Na3AcTl3
Source: Alexandria via LeMat-Bulk
Functional: PBE-GGA
Structure: relaxed

a b c (Å): 8.105 8.105 8.105
angles (deg): 90.00 90.00 90.00
Positions (direct):
Tl: 0.500 0.750 0.000
Tl: 0.500 0.250 0.000
Na: 0.250 0.500 0.000
Na: 0.500 0.000 0.250
Na: 0.000 0.750 0.500
Na: 0.750 0.500 0.000
Na: 0.500 0.000 0.750
Tl: 0.000 0.500 0.250
Ac: 0.500 0.500 0.500
Tl: 0.000 0.500 0.750
Tl: 0.250 0.000 0.500
Ac: 0.000 0.000 0.000
Na: 0.000 0.250 0.500
Tl: 0.750 0.000 0.500

Properties
- total energy (eV/atom) = -1.824
- spin magnetization (μB per atom) = 0.000
- ΔE_f (eV/atom) = 0.34

Record 7
Compound: ScBe2Te
Source: Alexandria via LeMat-Bulk
Functional: PBE-GGA
Structure: relaxed

a b c (Å): 5.044 5.044 4.044
angles (deg): 90.06 90.06 48.10
Positions (direct):
Sc: 0.750 0.750 0.750
Be: 0.457 0.457 0.750
Be: 0.043 0.043 0.750
Te: 0.250 0.250 0.250

Properties
- raw formation energy (eV/atom) = -0.008
- total energy (eV/atom) = -4.239
- spin magnetization (μB per atom) = 0.000

Record 8
Compound: ThGe2Ir
Source: Alexandria via LeMat-Bulk
Functional: PBE-GGA
Structure: relaxed

a b c (Å): 4.394 7.028 10.706
angles (deg): 90.00 90.00 90.00
Positions (direct):
Ge: 0.750 0.655 0.935
Th: 0.750 0.688 0.635
Ir: 0.750 0.491 0.144
Ge: 0.250 0.365 0.652
Th: 0.250 0.312 0.365
Ir: 0.250 0.509 0.856
Ir: 0.250 0.009 0.644
Ge: 0.250 0.845 0.435
Ge: 0.250 0.865 0.848
Th: 0.750 0.188 0.865
Ge: 0.750 0.635 0.348
Th: 0.250 0.812 0.135
Ir: 0.750 0.991 0.356
Ge: 0.750 0.155 0.565
Ge: 0.750 0.135 0.152
Ge: 0.250 0.345 0.065

Properties
- total energy (eV/atom) = -7.107
- spin magnetization (μB per atom) = 0.000
- ΔE_f (eV/atom) = -0.73

Record 9
Compound: Sm6GeP2Cl3
Source: Alexandria via LeMat-Bulk
Functional: PBE-GGA
Structure: relaxed

a b c (Å): 4.126 8.343 9.310
angles (deg): 103.57 102.80 90.00
Positions (direct):
Sm: 0.662 0.107 0.324
Ge: 0.500 0.000 0.000
Sm: 0.009 0.240 0.018
Cl: 0.500 0.500 0.000
P: 0.832 0.665 0.665
Sm: 0.325 0.437 0.650
Sm: 0.675 0.563 0.350
Sm: 0.991 0.760 0.982
Cl: 0.166 0.833 0.332
Cl: 0.834 0.167 0.668
Sm: 0.338 0.893 0.676
P: 0.168 0.335 0.335

Properties
- raw formation energy (eV/atom) = -1.474
- total energy (eV/atom) = -5.582
- spin magnetization (μB per atom) = 0.000

Record 10
Compound: Li5Y
Source: Alexandria via LeMat-Bulk
Functional: PBE-GGA
Structure: relaxed

a b c (Å): 8.328 8.328 5.196
angles (deg): 90.00 90.00 157.82
Positions (direct):
Li: 0.994 0.006 0.000
Li: 0.329 0.671 0.000
Y: 0.111 0.889 0.500
Li: 0.678 0.322 0.000
Li: 0.786 0.214 0.500
Li: 0.436 0.564 0.500

Properties
- total energy (eV/atom) = -2.558
- spin magnetization (μB per atom) = 0.001
- ΔE_f (eV/atom) = 0.11

Record 11
Compound: AcTmPb2
Source: Alexandria via LeMat-Bulk
Functional: PBE-GGA
Structure: relaxed

a b c (Å): 4.614 5.265 5.265
angles (deg): 90.00 90.00 90.00
Positions (direct):
Tm: 0.500 0.500 0.500
Pb: 0.000 0.000 0.500
Pb: 0.000 0.500 0.000
Ac: 0.500 0.000 0.000

Properties
- total energy (eV/atom) = -4.380
- spin magnetization (μB per atom) = 0.000
- ΔE_f (eV/atom) = -0.38

Record 12
Compound: Rb2HfBI6
Source: Alexandria via LeMat-Bulk
Functional: PBE-GGA
Structure: relaxed

a b c (Å): 8.078 8.078 8.502
angles (deg): 61.63 61.63 90.00
Last column: magnetic moment on the atom in μB.
Positions (direct):
Rb: 0.750 0.250 0.500  0.00
I: 0.251 0.251 0.000  0.00
I: 0.749 0.749 0.000  0.00
I: 0.251 0.749 0.000  -0.01
B: 0.500 0.500 0.000  0.20
I: 0.749 0.251 0.000  -0.01
I: 0.770 0.770 0.461  0.01
I: 0.230 0.230 0.539  0.01
Rb: 0.250 0.750 0.500  0.00
Hf: 0.000 0.000 0.000  0.31

Properties
- raw formation energy (eV/atom) = -0.518
- total energy (eV/atom) = -3.305
- spin magnetization (μB per atom) = 0.100

Q: The highest spin magnetization belongs to which entry?
A: Ba6Na2As2Ru2O17

Q: The highest spin magnetization belongs to which entry?
A: Ba6Na2As2Ru2O17